This record from the Alexandria database describes a relaxed structure of ZrScAs2Rh5. The functional is PBE.

Values from the calculation:
The calculation puts the magnetic moment at 0.000 μB per formula unit.

a = 4.1023 Å, b = 4.1023 Å, c = 8.7114 Å
α = 90.00°, β = 90.00°, γ = 90.00°
With the nearest neighbours (Å) after each atom.
Space group P4/mmm (No. 123)
Inequivalent atoms, fractional coordinates:
Zr1 0.0000 0.0000 0.0000 x1  8 As 3.14, 8 Rh 3.15
Sc1 0.0000 0.0000 0.5000 x1  12 Rh 2.84-2.90
As1 0.5000 0.5000 0.1387 x2  4 Rh 2.36, 1 As 2.42
Rh1 0.0000 0.5000 0.2737 x4  2 As 2.36
Rh2 0.5000 0.5000 0.5000 x1  8 Rh 2.84, 4 Sc 2.90, 2 As 3.15

This record from the Alexandria database describes a relaxed structure of KMg2Tc. The functional is PBE.

Values from the calculation:
The calculation puts the magnetic moment at 0.177 μB per formula unit.

a = 2.8447 Å, b = 4.7994 Å, c = 16.7664 Å
α = 90.00°, β = 90.00°, γ = 90.00°
With the nearest neighbours (Å) after each atom.
Space group Imm2 (No. 44)
Inequivalent atoms, fractional coordinates:
K1 0.0000 0.0000 0.0000 x2  2 K 2.84
Mg1 0.0000 0.0000 0.6753 x2  2 Tc 2.71, 2 Mg 2.84
Mg2 0.0000 0.5000 0.8076 x2  4 Tc 2.79, 2 Mg 2.84
Tc1 0.0000 0.5000 0.3126 x2  6 Mg 2.71-2.79, 2 Tc 2.84

no.,energy of formation from the pure elements (eV/f.u.)
1,-5.75
2,2.38